Here is an optimized crystal structure of Rb2CdTcI from the Alexandria database. Energies are from GGA-PBE.

a = 6.7512 Å, b = 5.3004 Å, c = 6.7512 Å
α = 90.00°, β = 90.00°, γ = 90.00°
With the nearest neighbours (Å) after each atom.
Element x y z (fractional)
I: 0.5000 0.5000 0.5000  8 Rb 4.29, 4 Cd 4.77
Rb: 0.5000 0.0000 0.0000  2 Tc 3.38
Cd: 0.0000 0.5000 0.0000  2 Tc 2.65
Rb: 0.0000 0.0000 0.5000  2 Tc 3.38
Tc: 0.0000 0.0000 0.0000  2 Cd 2.65

Values from the calculation:
Raw formation energy in eV per atom: 0.4379
DOS(E_F) in states/eV/f.u.: 4.51
Total magnetization in μB/cell: 3.10
Total energy in eV per atom: -2.515

Here is an optimized crystal structure of ScBe4Cl from the Alexandria database. Energies are from GGA-PBE.

a = 4.8628 Å, b = 4.8628 Å, c = 4.8628 Å
α = 60.00°, β = 60.00°, γ = 60.00°
With the nearest neighbours (Å) after each atom.
Element x y z (fractional)
Be: 0.9143 0.3619 0.3619  3 Be 2.18
Be: 0.3619 0.3619 0.9143  3 Be 2.18
Sc: 0.0000 0.0000 0.0000  12 Be 2.83, 4 Cl 2.98
Cl: 0.7500 0.7500 0.7500  12 Be 2.88, 4 Sc 2.98
Be: 0.3619 0.9143 0.3619  3 Be 2.18
Be: 0.3619 0.3619 0.3619  3 Be 2.18

Values from the calculation:
Raw formation energy in eV per atom: 0.4010
DOS(E_F) in states/eV/f.u.: 3.53
Total magnetization in μB/cell: 0.00
Total energy in eV per atom: -3.446

Here is an optimized crystal structure of AgGe2H from the Alexandria database. Energies are from GGA-PBE.

a = 4.7880 Å, b = 4.7880 Å, c = 6.9773 Å
α = 69.93°, β = 69.93°, γ = 90.00°
With the nearest neighbours (Å) after each atom.
Element x y z (fractional)
Ge: 0.2524 0.6250 0.2500  2 H 2.03
Ge: 0.8750 0.7476 0.7500  2 H 2.03
Ag: 0.0000 0.0000 0.0000  4 Ge 2.65
Ag: 0.7500 0.2500 0.5000  4 Ge 2.65
H: 0.2500 0.7500 0.5000  4 Ge 2.03
Ge: 0.4976 0.1250 0.2500  2 H 2.03
Ge: 0.3750 0.5024 0.7500  2 H 2.03
H: 0.5000 0.5000 0.0000  4 Ge 2.03

Values from the calculation:
DOS(E_F) in states/eV/f.u.: 1.06
Total magnetization in μB/cell: 0.00
Total energy in eV per atom: -3.388

Here is an optimized crystal structure of LiMoW from the Alexandria database. Energies are from GGA-PBE.

a = 4.4661 Å, b = 4.4661 Å, c = 2.6216 Å
α = 90.00°, β = 90.00°, γ = 120.00°
With the nearest neighbours (Å) after each atom.
Element x y z (fractional)
Mo: 0.6667 0.3333 0.3323  2 Mo 2.62, 3 Li 2.71, 3 W 2.72
Li: 0.0000 0.0000 0.0103  2 Li 2.62, 3 Mo 2.71, 3 W 2.74
W: 0.3333 0.6667 0.6574  2 W 2.62, 3 Mo 2.72, 3 Li 2.74

Values from the calculation:
DOS(E_F) in states/eV/f.u.: 2.95
Total magnetization in μB/cell: 0.00
Formation energy in eV per atom: 0.3363
Total energy in eV per atom: -8.230

Here is an optimized crystal structure of Be2PCl from the Alexandria database. Energies are from GGA-PBE.

a = 3.4333 Å, b = 3.4333 Å, c = 4.5237 Å
α = 90.00°, β = 90.00°, γ = 90.00°
With the nearest neighbours (Å) after each atom.
Element x y z (fractional)
Be: 0.5000 0.5000 0.3749  2 P 2.26, 4 Cl 2.43
Be: 0.0000 0.0000 0.8746  2 Cl 2.26, 4 P 2.43
Cl: 0.0000 0.0000 0.3753  6 Be 2.26-2.43
P: 0.5000 0.5000 0.8752  6 Be 2.26-2.43

Values from the calculation:
Raw formation energy in eV per atom: -0.0366
DOS(E_F) in states/eV/f.u.: 0.52
Total magnetization in μB/cell: 0.00
Total energy in eV per atom: -3.714

Here is an optimized crystal structure of AuSe6Br2 from the Alexandria database. Energies are from GGA-PBE.

a = 8.6860 Å, b = 21.4431 Å, c = 8.6860 Å
α = 39.59°, β = 52.24°, γ = 39.59°
With the nearest neighbours (Å) after each atom.
Element x y z (fractional)
Se: 0.8844 0.2133 0.9572  1 Se 2.30, 1 Au 2.51
Se: 0.9922 0.1412 0.4960  2 Se 2.30-2.43
Se: 0.0078 0.8588 0.5040  2 Se 2.30-2.43
Au: 0.1700 0.2500 0.8300  2 Se 2.51, 2 Br 2.54
Se: 0.3730 0.5444 0.5998  2 Se 2.33-2.43
Se: 0.1156 0.7867 0.0428  1 Se 2.30, 1 Au 2.51
Br: 0.5814 0.6763 0.3814  1 Au 2.54
Br: 0.3814 0.1763 0.5814  1 Au 2.54
Se: 0.5998 0.0444 0.3730  2 Se 2.33-2.43
Se: 0.6270 0.4556 0.4002  2 Se 2.33-2.43
Br: 0.4186 0.3237 0.6186  1 Au 2.54
Se: 0.4002 0.9556 0.6270  2 Se 2.33-2.43
Se: 0.4960 0.6412 0.9922  2 Se 2.30-2.43
Br: 0.6186 0.8237 0.4186  1 Au 2.54
Se: 0.0428 0.2867 0.1156  1 Se 2.30, 1 Au 2.51
Au: 0.8300 0.7500 0.1700  2 Se 2.51, 2 Br 2.54
Se: 0.9572 0.7133 0.8844  1 Se 2.30, 1 Au 2.51
Se: 0.5040 0.3588 0.0078  2 Se 2.30-2.43

Values from the calculation:
Raw formation energy in eV per atom: 0.0167
DOS(E_F) in states/eV/f.u.: 2.93
Total magnetization in μB/cell: 0.00
Total energy in eV per atom: -3.042

Here is an optimized crystal structure of CdHg4 from the Alexandria database. Energies are from GGA-PBE.

a = 4.2880 Å, b = 4.2880 Å, c = 8.5386 Å
α = 75.46°, β = 75.46°, γ = 90.00°
With the nearest neighbours (Å) after each atom.
Element x y z (fractional)
Hg: 0.5943 0.5943 0.8114  5 Hg 3.01-3.28
Hg: 0.2500 0.7500 0.5000  8 Hg 3.03-3.28
Hg: 0.4057 0.4057 0.1886  5 Hg 3.01-3.28
Cd: 0.0000 0.0000 0.0000  8 Hg 3.39
Hg: 0.7500 0.2500 0.5000  8 Hg 3.03-3.28

Values from the calculation:
DOS(E_F) in states/eV/f.u.: 1.20
Total magnetization in μB/cell: 0.00
Formation energy in eV per atom: 0.0726
Total energy in eV per atom: -0.352